PmNd2TmSe5: relaxed, PBE.

Symmetry: P4/mmm, No. 123
Uncorrected formation energy in eV/atom: -1.314
Uncorrected energy in eV per atom: -5.3344
ρ in g/cm3: 5.9

a b c (Å): 5.077 5.077 10.895
angles (deg): 90.00 90.00 90.00
Element x y z (fractional)
1 Pm 0.000 0.000 0.000
2 Nd 0.500 0.500 0.323
3 Nd 0.500 0.500 0.677
4 Tm 0.000 0.000 0.500
5 Se 0.000 0.500 0.500
6 Se 0.500 0.000 0.500
7 Se 0.000 0.000 0.749
8 Se 0.000 0.000 0.251
9 Se 0.500 0.500 0.000